[1]
# Ti2MnFe PBE-GGA optimized geometry
# * magnetization: 2.20 μB/cell
# * V: 208.75 Å³/cell
# * E_form: -0.33 eV/atom
data_Ti2MnFe
_chemical_formula_sum 'Ti8 Mn4 Fe4'
_space_group_name_H-M_alt 'F m -3 m'
_space_group_IT_number 225
_space_group_name_Hall '-F 4 2 3'
_cell_length_a 5.9321
_cell_length_b 5.9321
_cell_length_c 5.9321
_cell_angle_alpha 90.00
_cell_angle_beta 90.00
_cell_angle_gamma 90.00
loop_
_atom_site_label
_atom_site_type_symbol
_atom_site_fract_x
_atom_site_fract_y
_atom_site_fract_z
Ti1 Ti 0.2500 0.2500 0.2500
Mn1 Mn 0.0000 0.0000 0.0000
Fe1 Fe 0.0000 0.0000 0.5000

---

[2]
# Ti3MnFe PBE-GGA optimized geometry
# * relative energy among the computed polymorphs: 0 meV/atom
# * magnetization: 0.00 μB/cell
# * V: 84.51 Å³/cell
# * E_form: 0.67 eV/atom
data_Ti3MnFe
_chemical_formula_sum 'Ti3 Mn1 Fe1'
_space_group_name_H-M_alt 'P m -3 m'
_space_group_IT_number 221
_space_group_name_Hall '-P 4 2 3'
_cell_length_a 4.3883
_cell_length_b 4.3883
_cell_length_c 4.3883
_cell_angle_alpha 90.00
_cell_angle_beta 90.00
_cell_angle_gamma 90.00
loop_
_atom_site_label
_atom_site_type_symbol
_atom_site_fract_x
_atom_site_fract_y
_atom_site_fract_z
Ti1 Ti 0.0000 0.0000 0.5000
Mn1 Mn 0.5000 0.5000 0.5000
Fe1 Fe 0.0000 0.0000 0.0000

---

[3]
# Ti2MnFe PBE-GGA optimized geometry
# * magnetization: 0.60 μB/cell
# * V: 52.26 Å³/cell
# * E_form: -0.34 eV/atom
data_Ti2MnFe
_chemical_formula_sum 'Ti2 Mn1 Fe1'
_space_group_name_H-M_alt 'P 4/m m m'
_space_group_IT_number 123
_space_group_name_Hall '-P 4 2'
_cell_length_a 2.9649
_cell_length_b 2.9649
_cell_length_c 5.9447
_cell_angle_alpha 90.00
_cell_angle_beta 90.00
_cell_angle_gamma 90.00
loop_
_atom_site_label
_atom_site_type_symbol
_atom_site_fract_x
_atom_site_fract_y
_atom_site_fract_z
Ti1 Ti 0.0000 0.0000 0.2504
Mn1 Mn 0.5000 0.5000 0.0000
Fe1 Fe 0.5000 0.5000 0.5000

---

[4]
# Ti2MnFe PBE-GGA optimized geometry
# * magnetization: 0.46 μB/cell
# * V: 52.06 Å³/cell
# * E_form: -0.33 eV/atom
data_Ti2MnFe
_chemical_formula_sum 'Ti2 Mn1 Fe1'
_space_group_name_H-M_alt 'P 4/m m m'
_space_group_IT_number 123
_space_group_name_Hall '-P 4 2'
_cell_length_a 4.1938
_cell_length_b 4.1938
_cell_length_c 2.9598
_cell_angle_alpha 90.00
_cell_angle_beta 90.00
_cell_angle_gamma 90.00
loop_
_atom_site_label
_atom_site_type_symbol
_atom_site_fract_x
_atom_site_fract_y
_atom_site_fract_z
Ti1 Ti 0.0000 0.5000 0.0000
Mn1 Mn 0.0000 0.0000 0.5000
Fe1 Fe 0.5000 0.5000 0.5000

---

[5]
# Ti6MnFe PBE-GGA optimized geometry
# * relative energy among the computed polymorphs: 0 meV/atom
# * magnetization: 0.00 μB/cell
# * V: 241.40 Å³/cell
# * E_form: -0.14 eV/atom
data_Ti6MnFe
_chemical_formula_sum 'Ti12 Mn2 Fe2'
_space_group_name_H-M_alt 'I 4/m m m'
_space_group_IT_number 139
_space_group_name_Hall '-I 4 2'
_cell_length_a 4.2339
_cell_length_b 4.2339
_cell_length_c 13.4664
_cell_angle_alpha 90.00
_cell_angle_beta 90.00
_cell_angle_gamma 90.00
loop_
_atom_site_label
_atom_site_type_symbol
_atom_site_fract_x
_atom_site_fract_y
_atom_site_fract_z
Ti1 Ti 0.0000 0.0000 0.2485
Ti2 Ti 0.0000 0.5000 0.1073
Mn1 Mn 0.0000 0.0000 0.0000
Fe1 Fe 0.0000 0.0000 0.5000

---

[6]
# TiMn3Fe PBE-GGA optimized geometry
# * relative energy among the computed polymorphs: 776 meV/atom
# * magnetization: 0.00 μB/cell
# * V: 70.93 Å³/cell
# * E_form: 1.71 eV/atom
data_TiMn3Fe
_chemical_formula_sum 'Ti1 Mn3 Fe1'
_space_group_name_H-M_alt 'P m -3 m'
_space_group_IT_number 221
_space_group_name_Hall '-P 4 2 3'
_cell_length_a 4.1395
_cell_length_b 4.1395
_cell_length_c 4.1395
_cell_angle_alpha 90.00
_cell_angle_beta 90.00
_cell_angle_gamma 90.00
loop_
_atom_site_label
_atom_site_type_symbol
_atom_site_fract_x
_atom_site_fract_y
_atom_site_fract_z
Ti1 Ti 0.0000 0.0000 0.0000
Mn1 Mn 0.0000 0.0000 0.5000
Fe1 Fe 0.5000 0.5000 0.5000

---

[7]
# Ti3MnFe2 PBE-GGA optimized geometry
# * magnetization: 0.42 μB/cell
# * V: 77.85 Å³/cell
# * E_form: -0.37 eV/atom
data_Ti3MnFe2
_chemical_formula_sum 'Ti3 Mn1 Fe2'
_space_group_name_H-M_alt 'P 4/m m m'
_space_group_IT_number 123
_space_group_name_Hall '-P 4 2'
_cell_length_a 2.9591
_cell_length_b 2.9591
_cell_length_c 8.8911
_cell_angle_alpha 90.00
_cell_angle_beta 90.00
_cell_angle_gamma 90.00
loop_
_atom_site_label
_atom_site_type_symbol
_atom_site_fract_x
_atom_site_fract_y
_atom_site_fract_z
Ti1 Ti 0.0000 0.0000 0.0000
Ti2 Ti 0.0000 0.0000 0.3337
Mn1 Mn 0.5000 0.5000 0.5000
Fe1 Fe 0.5000 0.5000 0.1644

---

[8]
# Ti6MnFe PBE-GGA optimized geometry
# * relative energy among the computed polymorphs: 263 meV/atom
# * magnetization: 0.14 μB/cell
# * V: 257.19 Å³/cell
# * E_form: 0.13 eV/atom
data_Ti6MnFe
_chemical_formula_sum 'Ti12 Mn2 Fe2'
_space_group_name_H-M_alt 'C 1 2/m 1'
_space_group_IT_number 12
_cell_length_a 5.5326
_cell_length_b 9.3119
_cell_length_c 5.5339
_cell_angle_alpha 90.00
_cell_angle_beta 115.56
_cell_angle_gamma 90.00
loop_
_space_group_symop_operation_xyz
'x,y,z'
'-x,-y,-z'
'-x,y,-z'
'x,-y,z'
'x+1/2,y+1/2,z'
'-x+1/2,-y+1/2,-z'
'-x+1/2,y+1/2,-z'
'x+1/2,-y+1/2,z'
loop_
_atom_site_label
_atom_site_type_symbol
_atom_site_fract_x
_atom_site_fract_y
_atom_site_fract_z
Ti1 Ti 0.2481 0.1994 0.2512
Ti2 Ti 0.2494 0.0000 0.7511
Mn1 Mn 0.0000 0.5000 0.5000
Fe1 Fe 0.0000 0.0000 0.0000

---

[9]
# Ti2Mn3Fe PBE-GGA optimized geometry
# * magnetization: 9.06 μB/cell
# * V: 228.51 Å³/cell
# * E_form: -0.26 eV/atom
data_Ti2Mn3Fe
_chemical_formula_sum 'Ti6 Mn9 Fe3'
_space_group_name_H-M_alt 'R -3 m'
_space_group_IT_number 166
_space_group_name_Hall '-R 3 2"'
_cell_length_a 4.7155
_cell_length_b 4.7155
_cell_length_c 11.8692
_cell_angle_alpha 90.00
_cell_angle_beta 90.00
_cell_angle_gamma 120.00
loop_
_atom_site_label
_atom_site_type_symbol
_atom_site_fract_x
_atom_site_fract_y
_atom_site_fract_z
Ti1 Ti 0.0000 0.0000 0.1239
Mn1 Mn 0.0000 0.5000 0.0000
Fe1 Fe 0.0000 0.0000 0.5000

---

[10]
# Ti12Mn3Fe5 PBE-GGA optimized geometry
# * magnetization: 17.44 μB/cell
# * V: 2710.34 Å³/cell
# * E_form: 0.65 eV/atom
data_Ti12Mn3Fe5
_chemical_formula_sum 'Ti96 Mn24 Fe40'
_space_group_name_H-M_alt 'I a -3 d'
_space_group_IT_number 230
_space_group_name_Hall '-I 4bd 2c 3'
_cell_length_a 13.9425
_cell_length_b 13.9425
_cell_length_c 13.9425
_cell_angle_alpha 90.00
_cell_angle_beta 90.00
_cell_angle_gamma 90.00
loop_
_atom_site_label
_atom_site_type_symbol
_atom_site_fract_x
_atom_site_fract_y
_atom_site_fract_z
Ti1 Ti 0.0252 0.0733 0.6473
Mn1 Mn 0.0000 0.2500 0.1250
Fe1 Fe 0.0000 0.0000 0.0000
Fe2 Fe 0.0000 0.2500 0.3750

---

[11]
# Ti3MnFe4 PBE-GGA optimized geometry
# * magnetization: 3.35 μB/cell
# * V: 99.80 Å³/cell
# * E_form: -0.25 eV/atom
data_Ti3MnFe4
_chemical_formula_sum 'Ti3 Mn1 Fe4'
_space_group_name_H-M_alt 'P 4/m m m'
_space_group_IT_number 123
_space_group_name_Hall '-P 4 2'
_cell_length_a 2.9431
_cell_length_b 2.9431
_cell_length_c 11.5222
_cell_angle_alpha 90.00
_cell_angle_beta 90.00
_cell_angle_gamma 90.00
loop_
_atom_site_label
_atom_site_type_symbol
_atom_site_fract_x
_atom_site_fract_y
_atom_site_fract_z
Ti1 Ti 0.0000 0.0000 0.0000
Ti2 Ti 0.0000 0.0000 0.2576
Mn1 Mn 0.0000 0.0000 0.5000
Fe1 Fe 0.5000 0.5000 0.1280
Fe2 Fe 0.5000 0.5000 0.3842

---

[12]
# Ti4MnFe3 PBE-GGA optimized geometry
# * magnetization: 0.21 μB/cell
# * V: 103.42 Å³/cell
# * E_form: -0.38 eV/atom
data_Ti4MnFe3
_chemical_formula_sum 'Ti4 Mn1 Fe3'
_space_group_name_H-M_alt 'P 4/m m m'
_space_group_IT_number 123
_space_group_name_Hall '-P 4 2'
_cell_length_a 2.9550
_cell_length_b 2.9550
_cell_length_c 11.8434
_cell_angle_alpha 90.00
_cell_angle_beta 90.00
_cell_angle_gamma 90.00
loop_
_atom_site_label
_atom_site_type_symbol
_atom_site_fract_x
_atom_site_fract_y
_atom_site_fract_z
Ti1 Ti 0.0000 0.0000 0.1240
Ti2 Ti 0.0000 0.0000 0.3747
Mn1 Mn 0.5000 0.5000 0.0000
Fe1 Fe 0.5000 0.5000 0.2527
Fe2 Fe 0.5000 0.5000 0.5000